VASP calculation (PBE) on crystalline LiErMg4 at its relaxed geometry.

As for the magnetization: 0.00 μB per formula unit. The calculation puts the theoretical density at 3.0 Mg/m³. For the formation energy, the calculation gives 39 meV per atom.

The space group is F-43m (No. 216) and the conventional cell measures 8.416, 8.416 and 8.416 Å, with angles of 90.00, 90.00 and 90.00 degrees. The asymmetric unit holds Li at (0.000, 0.000, 0.000), Er at (0.250, 0.250, 0.750) and Mg at (0.125, 0.125, 0.375).